Computed, not measured: W3O8 after structural relaxation at the PBE with a Hubbard U level of DFT.

Lattice parameters (Å, degrees): 6.222 6.222 10.180 90.00 90.00 120.00
Sites, in units of the cell vectors:
1 O 0.333 0.667 0.144
2 O 0.146 0.292 0.653
3 O 0.854 0.708 0.153
4 O 0.000 0.000 0.859
5 O 0.292 0.146 0.153
6 O 0.480 0.961 0.346
7 O 0.854 0.146 0.153
8 O 0.039 0.520 0.346
9 O 0.667 0.333 0.644
10 O 0.480 0.520 0.346
11 O 0.708 0.854 0.653
12 O 0.520 0.480 0.846
13 O 0.520 0.039 0.846
14 O 0.146 0.854 0.653
15 O 0.961 0.480 0.846
16 O 0.000 0.000 0.359
17 W 0.166 0.834 0.252
18 W 0.332 0.166 0.752
19 W 0.834 0.668 0.752
20 W 0.166 0.332 0.252
21 W 0.668 0.834 0.252
22 W 0.834 0.166 0.752

Properties
**Calculated volume**: 15.5 Å³/atom
**Energy above the lowest structure with this stoichiometry**: 348.3 meV/atom
**Magnetization**: 4.0 μB/cell